No. 1
This record from Alexandria describes a relaxed structure of LaHoIr. The functional is PBE.

Summary:
The energy of formation comes out at -0.63 eV per atom. Its magnetic moment is 0.000 μB/atom. The total energy comes out at -6.7527 eV per atom. For the energy above the most stable polymorph in this dataset, the calculation gives 0.039 eV per atom.

abc: 4.917 4.925 6.889
angles: 89.69 89.71 89.98
Space group P-1 (No. 2)
One atom of each set of equivalent atoms:
La: 0.013 0.484 0.250 x2
Ho: 0.490 0.012 0.750 x2
Ir: 0.000 0.000 0.500 x1
Ir: 0.500 0.500 0.000 x1

=====

No. 2
This record from Alexandria describes a relaxed structure of LiLaHoIr. The functional is PBE.

Summary:
The energy of formation comes out at -0.46 eV per atom. Its magnetic moment is 0.000 μB/atom. The total energy comes out at -5.5328 eV per atom.

abc: 7.126 7.126 7.126
angles: 90.00 90.00 90.00
Space group F-43m (No. 216)
One atom of each set of equivalent atoms:
Li: 0.000 0.000 0.000 x4
La: 0.250 0.250 0.750 x4
Ho: 0.250 0.250 0.250 x4
Ir: 0.000 0.000 0.500 x4

=====

No. 3
This record from Alexandria describes a relaxed structure of LaHoMgIr. The functional is PBE.

Summary:
The energy of formation comes out at -0.37 eV per atom. Its magnetic moment is 0.000 μB/atom. The total energy comes out at -5.3554 eV per atom.

abc: 7.276 7.276 7.276
angles: 90.00 90.00 90.00
Space group F-43m (No. 216)
One atom of each set of equivalent atoms:
La: 0.000 0.000 0.000 x4
Ho: 0.000 0.000 0.500 x4
Mg: 0.250 0.250 0.750 x4
Ir: 0.250 0.250 0.250 x4